# 1
Rb3Ho3GeS8: relaxed, PBE-GGA.

Results
The magnetization comes out at 0.00 μB per formula unit. Its crystal system is trigonal. The space group is R-3m. As for the uncorrected formation energy: -1.48 eV/atom.

a = 7.8855 Å, b = 7.8873 Å, c = 9.0830 Å
α = 115.74°, β = 90.00°, γ = 120.00°
Last column: nearest neighbours and their distance in Å.
Atoms (fractional coordinates):
1 Rb 0.0000 0.0000 0.0000  6 S 3.34
2 Rb 0.0000 0.5000 0.0000  6 S 3.34
3 Rb 0.5000 0.5000 0.0000  6 S 3.34
4 Ho 0.5000 0.0000 0.5000  6 S 2.72-2.76
5 Ho 0.5000 0.5000 0.5000  6 S 2.72-2.76
6 Ho 0.0000 0.5000 0.5000  6 S 2.72-2.76
7 Ge 0.0000 0.0000 0.5000  6 S 2.51
8 S 0.2700 0.5400 0.3101  3 Ho 2.72
9 S 0.7300 0.4600 0.6899  3 Ho 2.72
10 S 0.7879 0.5757 0.3213  1 Ge 2.51, 2 Ho 2.76
11 S 0.2121 0.4243 0.6787  1 Ge 2.51, 2 Ho 2.76
12 S 0.7877 0.0334 0.3213  1 Ge 2.51, 2 Ho 2.76
13 S 0.2123 0.9666 0.6787  1 Ge 2.51, 2 Ho 2.76
14 S 0.2457 0.0334 0.3213  1 Ge 2.51, 2 Ho 2.76
15 S 0.7543 0.9666 0.6787  1 Ge 2.51, 2 Ho 2.76

---

# 2
PmYEr3Tm: relaxed, PBE-GGA.

Results
The magnetization comes out at 0.00 μB per formula unit. The value obtained for the energy of formation from the pure elements is 0.7 eV/f.u. Its crystal system is orthorhombic. The space group is Cmcm.

a = 5.6803 Å, b = 6.5378 Å, c = 11.3447 Å
α = 90.00°, β = 90.00°, γ = 115.75°
Last column: nearest neighbours and their distance in Å.
Atoms (fractional coordinates):
1 Pm 0.5250 0.0499 0.7500  4 Er 3.16-3.44
2 Pm 0.4750 0.9501 0.2500  4 Er 3.16-3.44
3 Y 0.8266 0.6532 0.7500  2 Tm 3.49, 3 Pm 3.55-3.68, 9 Er 3.57-3.81
4 Y 0.1734 0.3468 0.2500  2 Tm 3.49, 3 Pm 3.55-3.68, 9 Er 3.57-3.81
5 Er 0.6732 0.3465 0.4732  3 Er 3.33-3.42, 2 Pm 3.44-3.59, 2 Tm 3.51, 1 Y 3.62
6 Er 0.3268 0.6535 0.5268  3 Er 3.33-3.42, 2 Pm 3.44-3.59, 2 Tm 3.51, 1 Y 3.62
7 Er 0.3268 0.6535 0.9732  3 Er 3.33-3.42, 2 Pm 3.44-3.59, 2 Tm 3.51, 1 Y 3.62
8 Er 0.6732 0.3465 0.0268  3 Er 3.33-3.42, 2 Pm 3.44-3.59, 2 Tm 3.51, 1 Y 3.62
9 Er 0.1428 0.2855 0.7500  2 Pm 3.16, 2 Tm 3.30, 2 Er 3.33
10 Er 0.8572 0.7145 0.2500  2 Pm 3.16, 2 Tm 3.30, 2 Er 3.33
11 Tm 0.0000 0.0000 0.5000  6 Er 3.30-3.51, 2 Y 3.49
12 Tm 0.0000 0.0000 0.0000  6 Er 3.30-3.51, 2 Y 3.49

---

# 3
U2SiIr: relaxed, PBE-GGA.

Results
The magnetization comes out at 0.00 μB per formula unit. Its crystal system is monoclinic. The space group is P2/m. As for the uncorrected formation energy: -0.14 eV/atom.

a = 2.8785 Å, b = 5.0013 Å, c = 4.9520 Å
α = 90.00°, β = 90.00°, γ = 89.88°
Last column: nearest neighbours and their distance in Å.
Atoms (fractional coordinates):
1 U 0.2803 0.2398 0.0000  5 U 2.71-2.90, 2 Si 2.82, 2 Ir 2.91
2 U 0.7197 0.7602 0.0000  5 U 2.71-2.90, 2 Si 2.82, 2 Ir 2.91
3 Si 0.5000 0.0000 0.5000  4 U 2.82, 2 Si 2.88, 4 Ir 2.88-2.89
4 Ir 0.0000 0.5000 0.5000  2 Ir 2.88, 4 Si 2.88-2.89, 4 U 2.91

---

Q: What is the formula in the first record?
A: Rb3Ho3GeS8

---

Q: Look up the magnetization of the first one.
A: 0.00 μB per formula unit